(1)
First-principles (PBE-GGA) data for crystalline KAc2ZnTe4 at its relaxed geometry, as listed in Alexandria.

Computed properties:
For the density of states at the Fermi level, the calculation gives 0.29 states/eV per atom. Its crystal system is orthorhombic.

a = 4.7540 Å, b = 15.9454 Å, c = 16.2931 Å
α = 90.00°, β = 90.00°, γ = 90.00°
With the nearest neighbours (Å) after each atom.
Space group Cmcm (No. 63)
One atom of each set of equivalent atoms:
K: 0.0000 0.1137 0.2500 [4 per cell]  6 Te 3.69-3.71
Ac: 0.0000 0.3686 0.0562 [8 per cell]  6 Te 3.30-3.39
Zn: 0.0000 0.1518 0.7500 [4 per cell]  4 Te 2.75-2.78
Te: 0.0000 0.0000 0.0000 [4 per cell]  4 Ac 3.30
Te: 0.0000 0.2672 0.6224 [8 per cell]  1 Zn 2.78
Te: 0.0000 0.4347 0.2500 [4 per cell]  2 Zn 2.75

(2)
First-principles (PBE-GGA) data for crystalline KAcZnTe3 at its relaxed geometry, as listed in Alexandria.

Computed properties:
Its crystal system is monoclinic.

a = 10.0250 Å, b = 4.6285 Å, c = 10.7074 Å
α = 90.00°, β = 104.14°, γ = 90.00°
With the nearest neighbours (Å) after each atom.
Space group P2_1/m (No. 11)
One atom of each set of equivalent atoms:
K: 0.1998 0.2500 0.2341 [2 per cell]  7 Te 3.57-3.93
Ac: 0.3257 0.7500 0.8501 [2 per cell]  6 Te 3.30-3.42
Zn: 0.0808 0.2500 0.6069 [2 per cell]  4 Te 2.65-2.80
Te: 0.0887 0.2500 0.8559 [2 per cell]  1 Zn 2.65
Te: 0.1916 0.7500 0.5237 [2 per cell]  3 Zn 2.75-2.80
Te: 0.4450 0.7500 0.1678 [2 per cell]  3 Ac 3.30-3.32, 2 K 3.57

ΔE_f (raw) for every record listed, in sequence, given in meV per atom: -1183, -1103.